# 1
A relaxed structure of InSb2Rh. Source: Alexandria via LeMat-Bulk, functional PBE.

Calculated values
* crystal system: tetragonal
* E: -4.407 eV per atom
* raw formation energy: 0.177 eV/atom

a b c (Å): 5.3690 5.3690 5.3690
angles (deg): 129.88 129.88 73.60
Fractional coordinates of all 4 atoms:
In: 0.5000 0.5000 0.0000
Sb: 0.0000 0.0000 0.0000
Sb: 0.2500 0.7500 0.5000
Rh: 0.7500 0.2500 0.5000

# 2
A relaxed structure of Y2BeCo. Source: Alexandria via LeMat-Bulk, functional PBE.

Calculated values
* DFT formation energy: 0.300 eV per atom
* crystal system: cubic
* E: -5.640 eV per atom

a b c (Å): 4.6638 4.6638 4.6638
angles (deg): 60.00 60.00 60.00
Fractional coordinates of all 4 atoms:
Y: 0.0000 0.0000 0.0000
Y: 0.2500 0.2500 0.2500
Be: 0.5000 0.5000 0.5000
Co: 0.7500 0.7500 0.7500

# 3
A relaxed structure of LiMgSe. Source: Alexandria via LeMat-Bulk, functional PBE.

Calculated values
* crystal system: monoclinic
* energy above the most stable polymorph in this dataset: 0 meV/atom
* E: -3.161 eV per atom
* raw formation energy: -0.830 eV/atom

a b c (Å): 7.3546 7.3546 6.7768
angles (deg): 64.95 64.95 95.86
Fractional coordinates of all 12 atoms:
Li: 0.0289 0.0869 0.4108
Li: 0.0206 0.5670 0.1060
Li: 0.5670 0.0206 0.6060
Li: 0.0869 0.0289 0.9108
Se: 0.3925 0.2280 0.3858
Se: 0.3061 0.8223 0.0962
Se: 0.2280 0.3925 0.8858
Se: 0.8223 0.3061 0.5962
Mg: 0.4759 0.1941 0.0040
Mg: 0.1941 0.4759 0.5040
Mg: 0.7122 0.6788 0.4792
Mg: 0.6788 0.7122 0.9792

# 4
A relaxed structure of LiYCd2. Source: Alexandria via LeMat-Bulk, functional PBE.

Calculated values
* DFT formation energy: -0.278 eV per atom
* crystal system: tetragonal
* E: -2.830 eV per atom

a b c (Å): 4.9756 4.9756 4.9740
angles (deg): 120.15 120.15 89.74
Fractional coordinates of all 4 atoms:
Y: 0.7500 0.2500 0.5000
Cd: 0.0000 0.0000 0.0000
Cd: 0.2500 0.7500 0.5000
Li: 0.5000 0.5000 0.0000

DOS at the Fermi energy (computed, states/eV/cell): 2.22, 4.50, 1.28, 0.74